# 1
! LiThPtAu | Alexandria via LeMat-Bulk | GGA-PBE | relaxed; values from VASP
&SYSTEM
  ibrav = 0, nat = 4, ntyp = 4
/
ATOMIC_SPECIES
Au 196.97 Au.upf
Pt 195.08 Pt.upf
Th 232.04 Th.upf
Li 6.94 Li.upf
CELL_PARAMETERS angstrom
4.9291 0.0000 0.0000
2.4646 4.2687 0.0000
2.4646 1.4229 4.0246
ATOMIC_POSITIONS crystal
Au 0.2500 0.2500 0.2500
Pt 0.7500 0.7500 0.7500
Th 0.5000 0.5000 0.5000
Li 0.0000 0.0000 0.0000
! V: 84.7 Å³ per cell
! ΔE_f: -0.742 eV per atom
! raw total energy: -5.4051 eV/atom


# 2
! Zn8InN6 | Alexandria via LeMat-Bulk | GGA-PBE | relaxed; values from VASP
&SYSTEM
  ibrav = 0, nat = 30, ntyp = 3
/
ATOMIC_SPECIES
Zn 65.41 Zn.upf
In 114.82 In.upf
N 14.01 N.upf
CELL_PARAMETERS angstrom
6.1719 0.0000 0.0000
-3.0859 5.3450 0.0000
0.0000 0.0000 11.6763
ATOMIC_POSITIONS crystal
Zn 0.7105 0.7105 0.2742
Zn 0.5744 0.5744 0.6154
Zn 0.4256 0.4256 0.1154
Zn 0.2895 0.2895 0.7742
Zn 0.6667 0.3333 0.9152
Zn 0.6667 0.3333 0.4152
Zn 0.2895 0.0000 0.2742
Zn 0.4256 0.0000 0.6154
Zn 0.5744 0.0000 0.1154
Zn 0.0000 0.7105 0.7742
Zn 0.7105 0.0000 0.7742
Zn 0.0000 0.5744 0.1154
Zn 0.3333 0.6667 0.4152
Zn 0.3333 0.6667 0.9152
Zn 0.0000 0.4256 0.6154
Zn 0.0000 0.2895 0.2742
In 0.0000 0.0000 0.4997
In 0.0000 0.0000 0.9997
N 0.6560 0.6560 0.4473
N 0.3440 0.3440 0.9473
N 0.6667 0.3333 0.7050
N 0.0000 0.0000 0.6946
N 0.0000 0.0000 0.1946
N 0.6667 0.3333 0.2050
N 0.3440 0.0000 0.4473
N 0.0000 0.6560 0.9473
N 0.6560 0.0000 0.9473
N 0.3333 0.6667 0.2050
N 0.3333 0.6667 0.7050
N 0.0000 0.3440 0.4473
! V: 385.2 Å³ per cell
! energy relative to the elements, uncorrected: 0.2083 eV/atom
! raw total energy: -3.9839 eV/atom


# 3
! SiS | Alexandria via LeMat-Bulk | GGA-PBE | relaxed; values from VASP
&SYSTEM
  ibrav = 0, nat = 4, ntyp = 2
/
ATOMIC_SPECIES
S 32.06 S.upf
Si 28.09 Si.upf
CELL_PARAMETERS angstrom
4.0070 0.0000 0.0000
-2.0026 4.1081 -0.0001
-0.1950 -2.2825 6.6655
ATOMIC_POSITIONS crystal
S 0.9185 0.8615 0.7507
S 0.0815 0.1385 0.2493
Si 0.1703 0.3405 0.0000
Si 0.8297 0.6595 0.0000
! V: 109.7 Å³ per cell
! energy relative to the elements, uncorrected: -0.4002 eV/atom
! raw total energy: -5.1755 eV/atom


no.,Fermi-level density of states (states/eV/atom)
1,0.7426
2,0.1052
3,0.0463